# 1
First-principles (PBE-GGA) data for an optimized crystal structure of Y3Mg2Cu2, as listed in Alexandria via LeMat-Bulk.

Cell and atoms, written as extended XYZ:
```
7
Lattice="7.3528 3.2907 -12.2320 -9.2411 -5.1738 10.1167 -2.0481 2.6390 -0.5212" Properties=species:S:1:pos:R:3 pbc="T T T"
Y -3.5360 -0.4218 0.7933
Y -0.4004 1.1777 -3.4297
Y 0.0000 0.0000 0.0000
Mg -5.3632 -1.3538 3.2542
Mg 1.4268 2.1097 -5.8906
Cu -6.6647 -3.8596 6.6468
Cu 4.7764 1.9764 -8.7621
```

uncorrected energy = -4.434 eV per atom

=====

# 2
First-principles (PBE-GGA) data for an optimized crystal structure of Y3MgCu8, as listed in Alexandria via LeMat-Bulk.

Cell and atoms, written as extended XYZ:
```
12
Lattice="-4.2977 -2.8104 0.8542 0.2570 -4.3472 2.8519 -2.9011 2.1216 8.2462" Properties=species:S:1:pos:R:3 pbc="T T T"
Y -4.0350 -0.8821 8.5206
Y -4.0676 -7.0797 3.8273
Y -3.4476 -2.5854 5.8713
Mg -4.6415 -5.4153 6.4160
Cu -4.4919 -4.1340 3.6048
Cu -3.6350 -3.8582 8.6987
Cu -2.3019 -2.7020 3.1695
Cu -5.7766 -5.2587 9.1244
Cu -2.0229 -0.4252 4.2849
Cu -5.5013 -2.9216 10.2946
Cu -2.1710 -4.9172 4.6228
Cu -5.9046 -3.0924 7.7032
```

uncorrected energy = -4.672 eV per atom

=====

# 3
First-principles (PBE-GGA) data for an optimized crystal structure of Y2MgCu2, as listed in Alexandria via LeMat-Bulk.

Cell and atoms, written as extended XYZ:
```
5
Lattice="2.2758 -3.9418 0.0000 2.2758 3.9418 0.0000 0.0000 0.0000 6.2867" Properties=species:S:1:pos:R:3 pbc="T T T"
Y 2.2758 1.3139 4.2792
Y 2.2758 -1.3139 2.0074
Mg 0.0000 0.0000 0.0000
Cu 2.2758 1.3139 0.8305
Cu 2.2758 -1.3139 5.4562
```

uncorrected energy = -4.635 eV per atom

=====

# 4
First-principles (PBE-GGA) data for an optimized crystal structure of Y3MgCu4, as listed in Alexandria via LeMat-Bulk.

Cell and atoms, written as extended XYZ:
```
8
Lattice="-2.7727 2.9170 -2.6573 -4.8025 -0.3886 0.2082 -2.6921 6.0825 5.1097" Properties=species:S:1:pos:R:3 pbc="T T T"
Y -2.5646 2.0813 0.5843
Y -7.7028 6.5297 2.0762
Y -5.1337 4.3055 1.3303
Mg 0.0000 0.0000 0.0000
Cu -7.6378 4.4906 -0.2299
Cu -5.1958 6.2558 3.5360
Cu -2.6296 4.1204 2.8905
Cu -5.0715 2.3552 -0.8755
```

uncorrected energy = -4.883 eV per atom